# LaPrSm3Th

A relaxed LaPrSm3Th crystal (PBE, Alexandria via LeMat-Bulk).

It has space group P2_1/m (No. 11), with a = 8.1616 Å, b = 5.1653 Å, c = 10.3498 Å, α = 90.00°, β = 108.29° and γ = 90.00°. The asymmetric unit holds La at (0.1767, 0.2500, 0.2962), Pr at (0.4981, 0.7500, 0.8684), Sm at (0.1704, 0.7500, 0.0451), Sm at (0.1716, 0.2500, 0.7908), Sm at (0.1781, 0.7500, 0.5427) and Th at (0.4999, 0.2500, 0.6200).

The calculation puts the density of states at the Fermi level at 9.23 states/eV/f.u. As for the formation energy: 0.21 eV per formula unit. The electronic total energy comes out at -5.180 eV per atom.



# Nd2RuO

A relaxed Nd2RuO crystal (PBE, Alexandria via LeMat-Bulk).

It has space group P4/mmm (No. 123), with a = 3.3037 Å, b = 3.3037 Å, c = 6.9135 Å, α = 90.00°, β = 90.00° and γ = 90.00°. The asymmetric unit holds Nd at (0.0000, 0.0000, 0.2343), Ru at (0.5000, 0.5000, 0.5000) and O at (0.5000, 0.5000, 0.0000).

The calculation puts the density of states at the Fermi level at 1.03 states/eV/f.u. The electronic total energy comes out at -6.993 eV per atom. The value obtained for the raw formation energy is -1.05 eV per atom.



# Dy4InSb2

A relaxed Dy4InSb2 crystal (PBE, Alexandria via LeMat-Bulk).

It has space group I4_1/amd (No. 141, origin choice 2), with a = 9.6838 Å, b = 9.6838 Å, c = 9.4877 Å, α = 90.00°, β = 90.00° and γ = 90.00°. The asymmetric unit holds Dy at (0.0000, 0.0625, 0.1891), In at (0.0000, 0.2500, 0.8750) and Sb at (0.0000, 0.0000, 0.5000).

The calculation puts the density of states at the Fermi level at 4.42 states/eV/f.u. The electronic total energy comes out at -4.824 eV per atom. The value obtained for the raw formation energy is -0.63 eV per atom.



# LaTaMo2

A relaxed LaTaMo2 crystal (PBE, Alexandria via LeMat-Bulk).

It has space group Cmmm (No. 65), with a = 3.2724 Å, b = 4.9252 Å, c = 9.6198 Å, α = 90.00°, β = 90.00° and γ = 90.00°. The asymmetric unit holds La at (0.0000, 0.0000, 0.0000), Ta at (0.0000, 0.0000, 0.5000) and Mo at (0.0000, 0.5000, 0.2786).

The calculation puts the density of states at the Fermi level at 4.22 states/eV/f.u. As for the formation energy: 1.33 eV per formula unit. The electronic total energy comes out at -9.277 eV per atom.



# MnTl2CdI6

A relaxed MnTl2CdI6 crystal (PBE, Alexandria via LeMat-Bulk).

It has space group R3 (No. 146, hexagonal axes), with a = 8.2102 Å, b = 8.2102 Å, c = 20.1771 Å, α = 90.00°, β = 90.00° and γ = 120.00°. The asymmetric unit holds Mn at (0.0000, 0.0000, 0.0000), Tl at (0.0000, 0.0000, 0.2200), Tl at (0.0000, 0.0000, 0.7168), Cd at (0.0000, 0.0000, 0.4985), I at (0.0149, 0.5886, 0.7553) and I at (0.0896, 0.3370, 0.5912).

The electronic total energy comes out at -2.920 eV per atom. The value obtained for the raw formation energy is -0.51 eV per atom.



# Dy3Ho4Sb4

A relaxed Dy3Ho4Sb4 crystal (PBE, Alexandria via LeMat-Bulk).

It has space group Immm (No. 71), with a = 4.0357 Å, b = 9.1279 Å, c = 17.1541 Å, α = 90.00°, β = 90.00° and γ = 90.00°. The asymmetric unit holds Dy at (0.0000, 0.0000, 0.0000), Dy at (0.0000, 0.5000, 0.1002), Ho at (0.0000, 0.3163, 0.3312), Sb at (0.0000, 0.0000, 0.2641) and Sb at (0.0000, 0.2070, 0.5000).

The calculation puts the density of states at the Fermi level at 11.37 states/eV/f.u. The electronic total energy comes out at -5.170 eV per atom. The value obtained for the raw formation energy is -0.75 eV per atom.



# LaMg2B

A relaxed LaMg2B crystal (PBE, Alexandria via LeMat-Bulk).

It has space group I-42d (No. 122), with a = 8.2460 Å, b = 8.2460 Å, c = 5.4263 Å, α = 90.00°, β = 90.00° and γ = 90.00°. The asymmetric unit holds La at (0.0000, 0.0000, 0.0000), Mg at (0.1539, 0.7500, 0.6250) and B at (0.0000, 0.0000, 0.5000).

The calculation puts the density of states at the Fermi level at 3.15 states/eV/f.u. As for the formation energy: 1.43 eV per formula unit. The electronic total energy comes out at -3.340 eV per atom.



# Dy4Ru2Au

A relaxed Dy4Ru2Au crystal (PBE, Alexandria via LeMat-Bulk).

It has space group Cc (No. 9), with a = 8.7319 Å, b = 13.0606 Å, c = 6.7476 Å, α = 90.00°, β = 122.82° and γ = 90.00°. The asymmetric unit holds Dy at (0.0000, 0.0309, 0.0000), Dy at (0.1485, 0.3073, 0.1232), Dy at (0.3081, 0.3110, 0.7444), Dy at (0.4042, 0.0833, 0.0462), Ru at (0.0284, 0.1789, 0.7229), Ru at (0.1856, 0.4913, 0.4818) and Au at (0.2493, 0.1247, 0.4771).

The calculation puts the density of states at the Fermi level at 4.95 states/eV/f.u. As for the formation energy: -3.23 eV per formula unit. The electronic total energy comes out at -6.210 eV per atom.



# NaCaBiI6

A relaxed NaCaBiI6 crystal (PBE, Alexandria via LeMat-Bulk).

It has space group P-31c (No. 163), with a = 7.9136 Å, b = 7.9136 Å, c = 14.5189 Å, α = 90.00°, β = 90.00° and γ = 120.00°. The asymmetric unit holds Na at (0.0000, 0.0000, 0.0000), Ca at (0.3333, 0.6667, 0.2500), Bi at (0.3333, 0.6667, 0.7500) and I at (0.0033, 0.3525, 0.6268).

The calculation puts the density of states at the Fermi level at 0.00 states/eV/f.u. The electronic total energy comes out at -2.836 eV per atom. The value obtained for the raw formation energy is -1.00 eV per atom.



# TaFeBr3

A relaxed TaFeBr3 crystal (PBE, Alexandria via LeMat-Bulk).

It has space group Pm-3m (No. 221), with a = 4.7415 Å, b = 4.7415 Å, c = 4.7415 Å, α = 90.00°, β = 90.00° and γ = 90.00°. The asymmetric unit holds Ta at (0.0000, 0.0000, 0.0000), Fe at (0.5000, 0.5000, 0.5000) and Br at (0.0000, 0.5000, 0.5000).

The calculation puts the density of states at the Fermi level at 10.70 states/eV/f.u. The electronic total energy comes out at -3.945 eV per atom. The value obtained for the raw formation energy is 1.12 eV per atom.



# NaThAl

A relaxed NaThAl crystal (PBE, Alexandria via LeMat-Bulk).

It has space group Amm2 (No. 38), with a = 17.4095 Å, b = 3.3443 Å, c = 5.7930 Å, α = 90.00°, β = 90.00° and γ = 90.00°. The asymmetric unit holds Na at (0.1533, 0.0000, 0.0000), Th at (0.3511, 0.0000, 0.6664), Al at (0.0000, 0.0000, 0.6674) and Al at (0.5000, 0.0000, 0.9997).

The calculation puts the density of states at the Fermi level at 2.43 states/eV/f.u. As for the formation energy: 0.55 eV per formula unit. The electronic total energy comes out at -3.978 eV per atom.



# Tb2HoMgTl4

A relaxed Tb2HoMgTl4 crystal (PBE, Alexandria via LeMat-Bulk).

It has space group R-3m (No. 166, hexagonal axes), with a = 5.2607 Å, b = 5.2607 Å, c = 26.7013 Å, α = 90.00°, β = 90.00° and γ = 120.00°. The asymmetric unit holds Tb at (0.0000, 0.0000, 0.2435), Ho at (0.0000, 0.0000, 0.0000), Mg at (0.0000, 0.0000, 0.5000), Tl at (0.0000, 0.0000, 0.1236) and Tl at (0.0000, 0.0000, 0.3750).

The calculation puts the density of states at the Fermi level at 4.34 states/eV/f.u. As for the formation energy: -2.32 eV per formula unit. The electronic total energy comes out at -3.402 eV per atom.



# YSbSe

A relaxed YSbSe crystal (PBE, Alexandria via LeMat-Bulk).

It has space group P3m1 (No. 156), with a = 3.8593 Å, b = 3.8593 Å, c = 7.2222 Å, α = 90.00°, β = 90.00° and γ = 120.00°. The asymmetric unit holds Y at (0.0000, 0.0000, 0.0000), Sb at (0.3333, 0.6667, 0.3481) and Se at (0.6667, 0.3333, 0.7804).

The calculation puts the density of states at the Fermi level at 1.81 states/eV/f.u. The electronic total energy comes out at -5.518 eV per atom. The value obtained for the raw formation energy is -0.83 eV per atom.



# B2H2Ru

A relaxed B2H2Ru crystal (PBE, Alexandria via LeMat-Bulk).

It has space group P4/mbm (No. 127), with a = 5.4379 Å, b = 5.4379 Å, c = 2.5091 Å, α = 90.00°, β = 90.00° and γ = 90.00°. The asymmetric unit holds B at (0.1103, 0.3897, 0.0000), H at (0.1077, 0.6077, 0.5000) and Ru at (0.0000, 0.0000, 0.0000).

The calculation puts the density of states at the Fermi level at 3.05 states/eV/f.u. The electronic total energy comes out at -4.761 eV per atom.



# ZnInS2N

A relaxed ZnInS2N crystal (PBE, Alexandria via LeMat-Bulk).

It has space group P4/mmm (No. 123), with a = 5.1546 Å, b = 5.1546 Å, c = 4.1842 Å, α = 90.00°, β = 90.00° and γ = 90.00°. The asymmetric unit holds Zn at (0.0000, 0.0000, 0.0000), In at (0.5000, 0.5000, 0.5000), S at (0.0000, 0.5000, 0.5000) and N at (0.5000, 0.5000, 0.0000).

The calculation puts the density of states at the Fermi level at 2.17 states/eV/f.u. The electronic total energy comes out at -3.180 eV per atom. The value obtained for the raw formation energy is 0.94 eV per atom.



# La2Cu3AgAs4

A relaxed La2Cu3AgAs4 crystal (PBE, Alexandria via LeMat-Bulk).

It has space group P-4m2 (No. 115), with a = 4.4364 Å, b = 4.4364 Å, c = 9.9700 Å, α = 90.00°, β = 90.00° and γ = 90.00°. The asymmetric unit holds La at (0.0000, 0.5000, 0.2378), Cu at (0.0000, 0.5000, 0.8856), Cu at (0.5000, 0.5000, 0.5000), Ag at (0.0000, 0.0000, 0.5000), As at (0.0000, 0.0000, 0.0000), As at (0.0000, 0.5000, 0.6460) and As at (0.5000, 0.5000, 0.0000).

The calculation puts the density of states at the Fermi level at 1.97 states/eV/f.u. As for the formation energy: -6.39 eV per formula unit. The electronic total energy comes out at -4.999 eV per atom.



# Ba2Hg10Sb

A relaxed Ba2Hg10Sb crystal (PBE, Alexandria via LeMat-Bulk).

It has space group Pmc2_1 (No. 26), with a = 6.1229 Å, b = 10.7122 Å, c = 13.4236 Å, α = 90.00°, β = 90.00° and γ = 90.00°. The asymmetric unit holds Ba at (0.0000, 0.0565, 0.0000), Ba at (0.0000, 0.4427, 0.8375), Hg at (0.2322, 0.1420, 0.7214), Hg at (0.2321, 0.3574, 0.1168), Hg at (0.5000, 0.0343, 0.3598), Hg at (0.5000, 0.0965, 0.1364), Hg at (0.5000, 0.1963, 0.5336), Hg at (0.5000, 0.3045, 0.3046), Hg at (0.5000, 0.4036, 0.7016), Hg at (0.5000, 0.4667, 0.4784) and Sb at (0.5000, 0.2495, 0.9190).

The calculation puts the density of states at the Fermi level at 3.90 states/eV/f.u. The electronic total energy comes out at -1.037 eV per atom. The value obtained for the raw formation energy is -0.19 eV per atom.



# BaSr2CdRh

A relaxed BaSr2CdRh crystal (PBE, Alexandria via LeMat-Bulk).

It has space group P4/mmm (No. 123), with a = 5.7738 Å, b = 5.7738 Å, c = 5.5585 Å, α = 90.00°, β = 90.00° and γ = 90.00°. The asymmetric unit holds Ba at (0.0000, 0.0000, 0.0000), Sr at (0.0000, 0.5000, 0.5000), Cd at (0.5000, 0.5000, 0.0000) and Rh at (0.5000, 0.5000, 0.5000).

The calculation puts the density of states at the Fermi level at 4.68 states/eV/f.u. As for the formation energy: -0.70 eV per formula unit. The electronic total energy comes out at -2.850 eV per atom.



# Tl5CdHg

A relaxed Tl5CdHg crystal (PBE, Alexandria via LeMat-Bulk).

It has space group P4/mmm (No. 123), with a = 4.9993 Å, b = 4.9993 Å, c = 8.6130 Å, α = 90.00°, β = 90.00° and γ = 90.00°. The asymmetric unit holds Tl at (0.0000, 0.0000, 0.0000), Tl at (0.0000, 0.5000, 0.2740), Cd at (0.5000, 0.5000, 0.5000) and Hg at (0.5000, 0.5000, 0.0000).

The calculation puts the density of states at the Fermi level at 3.87 states/eV/f.u. As for the formation energy: 0.40 eV per formula unit. The electronic total energy comes out at -1.806 eV per atom.



# Cd2Ga2GePd5

A relaxed Cd2Ga2GePd5 crystal (PBE, Alexandria via LeMat-Bulk).

It has space group P4/mbm (No. 127), with a = 10.1990 Å, b = 10.1990 Å, c = 3.2528 Å, α = 90.00°, β = 90.00° and γ = 90.00°. The asymmetric unit holds Cd at (0.1605, 0.3395, 0.0000), Ga at (0.1355, 0.6355, 0.0000), Ge at (0.0000, 0.0000, 0.0000), Pd at (0.0000, 0.5000, 0.5000) and Pd at (0.1062, 0.8275, 0.5000).

The calculation puts the density of states at the Fermi level at 3.47 states/eV/f.u. As for the formation energy: -4.16 eV per formula unit. The electronic total energy comes out at -4.263 eV per atom.